[1]
DyEr12In3: optimized geometry, PBE.

Output
energy of formation from the pure elements: -187 meV/atom

POSCAR file:
```
DyEr12In3
1.0
4.822 0.000 0.000
0.000 4.822 0.000
0.000 0.000 19.587
Er In Dy
12 3 1
Cartesian
2.411 0.000 7.389
2.411 2.411 14.594
2.411 0.000 12.199
0.000 2.411 12.199
0.000 2.411 2.550
0.000 2.411 7.389
2.411 2.411 9.794
2.411 2.411 4.993
2.411 0.000 2.550
2.411 0.000 17.037
2.411 2.411 0.000
0.000 2.411 17.037
0.000 0.000 9.794
0.000 0.000 5.014
0.000 0.000 14.574
0.000 0.000 0.000
```

[2]
FeOs2Pb: optimized geometry, PBE.

Output
energy of formation from the pure elements: 925 meV/atom

POSCAR file:
```
FeOs2Pb
1.0
-1.309 -2.273 -1.352
3.874 -0.756 -2.482
1.573 -2.892 3.337
Os Pb Fe
2 1 1
Cartesian
0.000 0.000 0.000
1.282 -1.514 -1.917
0.132 -2.582 0.992
2.724 -1.824 0.428
```

[3]
MgBeTe3: optimized geometry, PBE.

Output
relative energy among the computed polymorphs: 0.00 eV/f.u.
formation energy without anion corrections: 20 kJ per mole of atoms

POSCAR file:
```
MgBeTe3
1.0
5.052 0.000 0.000
0.000 5.052 0.000
0.000 0.000 5.052
Te Mg Be
3 1 1
Cartesian
2.526 0.000 0.000
0.000 0.000 2.526
0.000 2.526 0.000
2.526 2.526 2.526
0.000 0.000 0.000
```

[4]
Pm3Nd2Sm6Er: optimized geometry, PBE.

Output
energy of formation from the pure elements: 14 meV/atom

POSCAR file:
```
Pm3Nd2Sm6Er
1.0
6.290 0.000 0.003
-3.143 5.448 0.003
-1.056 -1.828 11.872
Er Pm Sm Nd
1 3 6 2
Cartesian
0.000 0.000 0.000
4.192 -0.006 5.939
-2.100 3.628 5.939
1.046 1.811 5.939
3.137 1.815 8.917
0.005 3.625 8.917
-1.046 1.806 2.961
2.100 3.636 2.968
-0.008 -0.014 8.910
2.087 -0.003 2.961
3.145 1.817 0.003
0.001 3.632 0.003
```

[5]
Rb2SiNiBr6: optimized geometry, PBE.

Output
formation energy without anion corrections: -85 kJ per mole of atoms

POSCAR file:
```
Rb2SiNiBr6
1.0
7.418 0.000 0.000
0.000 7.418 0.000
3.709 3.709 5.260
Br Rb Si Ni
6 2 1 1
Cartesian
5.584 5.584 0.000
1.834 1.834 0.000
5.584 1.834 0.000
7.418 7.418 2.603
1.834 5.584 0.000
3.709 3.709 2.657
7.418 3.709 2.630
3.709 7.418 2.630
3.709 3.709 0.000
0.000 0.000 0.000
```

[6]
La2MnSb4Pd3: optimized geometry, PBE.

Output
formation energy without anion corrections: -74 kJ per mole of atoms

POSCAR file:
```
La2MnSb4Pd3
1.0
-4.096 2.003 -0.676
-1.528 -1.788 3.964
3.478 8.922 5.364
Sb Pd La Mn
4 3 2 1
Cartesian
0.000 0.000 0.000
0.519 2.399 3.962
-2.812 0.108 1.644
0.146 6.631 3.047
1.739 4.461 2.682
0.978 8.764 4.330
-0.312 0.265 2.679
-1.169 3.256 1.017
1.835 5.774 5.991
-1.073 4.569 4.326
```

no.,energy (eV/atom),density of states at the Fermi level (states/eV/cell)
1,-4.41,18.05
2,-7.73,4.56
3,-2.74,4.25
4,-4.71,16.93
5,-3.20,5.46
6,-5.87,4.94